This record from Alexandria via LeMat-Bulk describes ZnSbI5 after structural relaxation. The functional is GGA-PBE.

Lattice parameters (Å, degrees): 8.063 8.063 11.400 110.41 110.41 89.67
Sites, in units of the cell vectors:
Zn 0.120 0.880 0.750
Zn 0.880 0.120 0.250
Sb 0.000 0.500 0.000
Sb 0.500 0.000 0.500
I 0.172 0.199 0.465
I 0.179 0.605 0.835
I 0.199 0.172 0.965
I 0.340 0.660 0.250
I 0.395 0.821 0.665
I 0.605 0.179 0.335
I 0.660 0.340 0.750
I 0.801 0.828 0.035
I 0.821 0.395 0.165
I 0.828 0.801 0.535

Summary:
Energy relative to the elements, uncorrected in eV per atom: -0.377
M_tot in Bohr magnetons per cell: 0.00